# Cs2AcMnF6

A relaxed structure of Cs2AcMnF6 (PBE with a Hubbard U, Alexandria).

Properties
theoretical density: 4.7 g/cm3
E_tot: -107.46 eV/cell

Cell: 6.8825 9.7485 6.8978 Å, 90.00 90.00 90.00°
Space group Pmmn (No. 59, origin choice 2)
Asymmetric unit:
Cs 0.2500 0.0009 0.2492 x4
Ac 0.2500 0.2500 0.7495 x2
Mn 0.2500 0.7500 0.7497 x2
F 0.0018 0.2500 0.5010 x4
F 0.0020 0.2500 0.9979 x4
F 0.2500 0.0019 0.7502 x4